--- P ---
# LaZrSb3

A relaxed structure of LaZrSb3 (PBE, Alexandria via LeMat-Bulk).

space group	Pm-3m, No. 221
crystal system	cubic

a = 5.5053 Å, b = 5.5053 Å, c = 5.5053 Å
α = 90.00°, β = 90.00°, γ = 90.00°
Positions (direct):
La: 0.0000 0.0000 0.0000
Zr: 0.5000 0.5000 0.5000
Sb: 0.0000 0.5000 0.5000
Sb: 0.5000 0.0000 0.5000
Sb: 0.5000 0.5000 0.0000

--- Q ---
# LaZrSb3

A relaxed structure of LaZrSb3 (PBE, Alexandria via LeMat-Bulk).

space group	Pbcm, No. 57
crystal system	orthorhombic

a = 13.7736 Å, b = 6.3978 Å, c = 6.4709 Å
α = 90.00°, β = 90.00°, γ = 90.00°
Positions (direct):
La: 0.1813 0.0101 0.2500
La: 0.1813 0.4899 0.7500
La: 0.8187 0.5101 0.2500
La: 0.8187 0.9899 0.7500
Zr: 0.4117 0.7500 0.0000
Zr: 0.4117 0.7500 0.5000
Zr: 0.5883 0.2500 0.0000
Zr: 0.5883 0.2500 0.5000
Sb: 0.0028 0.7500 0.0000
Sb: 0.0028 0.7500 0.5000
Sb: 0.2672 0.5067 0.2500
Sb: 0.2672 0.9933 0.7500
Sb: 0.4194 0.1266 0.2500
Sb: 0.4194 0.3734 0.7500
Sb: 0.5806 0.6266 0.2500
Sb: 0.5806 0.8734 0.7500
Sb: 0.7328 0.0067 0.2500
Sb: 0.7328 0.4933 0.7500
Sb: 0.9972 0.2500 0.0000
Sb: 0.9972 0.2500 0.5000

--- R ---
# LaZrSb3

A relaxed structure of LaZrSb3 (PBE, Alexandria via LeMat-Bulk).

space group	Pm-3m, No. 221
crystal system	cubic

a = 5.8164 Å, b = 5.8164 Å, c = 5.8164 Å
α = 90.00°, β = 90.00°, γ = 90.00°
Positions (direct):
La: 0.0000 0.0000 0.0000
Zr: 0.5000 0.5000 0.5000
Sb: 0.0000 0.0000 0.5000
Sb: 0.0000 0.5000 0.0000
Sb: 0.5000 0.0000 0.0000

Last place for stability: R